Record 1
Computed, not measured: a relaxed structure of La2PtAu at the PBE-GGA level of DFT.

## Properties
- DFT formation energy: -1003 meV/atom
- Total magnetization: 0.0 μB per cell
- Space group: No. 6

a b c (Å): 4.6944 3.9940 6.0215
angles (deg): 70.84 90.00 90.00
Last column: nearest neighbours and their distance in Å.
Sites, in units of the cell vectors:
La1 0.5000 0.2578 0.3567  4 Pt 3.12, 3 Au 3.15-3.23
La2 0.0000 0.9876 0.9022  3 Pt 3.05-3.31, 4 Au 3.13
Au1 0.5000 0.5368 0.8024  2 Pt 3.13, 7 La 3.13-3.23
Pt1 0.0000 0.7177 0.4388  7 La 3.05-3.31, 2 Au 3.13

Record 2
Computed, not measured: a relaxed structure of CeNpI at the PBE-GGA level of DFT.

## Properties
- E_form (uncorrected): -0.080 eV/atom
- Total magnetization: 4.1 μB per cell
- Space group: No. 12

a b c (Å): 5.2880 5.8242 6.3374
angles (deg): 90.00 77.89 56.59
Last column: nearest neighbours and their distance in Å.
Sites, in units of the cell vectors:
Np1 0.9010 0.0495 0.1869  1 Np 2.31, 1 Ce 2.54
I1 0.5525 0.7237 0.3255  5 Ce 3.12-3.31, 4 Np 3.21-3.31
Np2 0.0990 0.9505 0.8131  1 Np 2.31, 1 Ce 2.54
Ce1 0.3274 0.3363 0.1817  1 Np 2.54
Ce2 0.6726 0.6637 0.8183  1 Np 2.54
I2 0.4475 0.2763 0.6745  5 Ce 3.12-3.31, 4 Np 3.21-3.31

Record 3
Computed, not measured: a relaxed structure of Sr2Zn2In at the PBE-GGA level of DFT.

## Properties
- DFT formation energy: -292 meV/atom
- Total magnetization: 0.0 μB per cell
- Space group: No. 12

a b c (Å): 4.7668 6.3962 10.5952
angles (deg): 82.60 77.00 68.12
Last column: nearest neighbours and their distance in Å.
Sites, in units of the cell vectors:
Zn1 0.1294 0.2969 0.4444  1 Zn 2.72, 3 In 2.83-3.03
Sr1 0.6951 0.7207 0.8891  6 Zn 3.39-3.52, 2 In 3.61
In1 0.2275 0.9024 0.6426  4 Zn 2.83-3.03
Sr2 0.4907 0.6861 0.3326  6 Zn 3.32-3.48, 4 In 3.43-3.51
Zn2 0.8706 0.7031 0.5556  1 Zn 2.72, 3 In 2.83-3.03
Zn3 0.0090 0.8729 0.1091  1 Zn 2.65, 1 In 2.95
Sr3 0.5093 0.3139 0.6674  6 Zn 3.32-3.48, 4 In 3.43-3.51
Zn4 0.9910 0.1271 0.8909  1 Zn 2.65, 1 In 2.95
In2 0.7725 0.0976 0.3574  4 Zn 2.83-3.03
Sr4 0.3049 0.2793 0.1109  6 Zn 3.39-3.52, 2 In 3.61